Entry 1:
Compound: LuThHg
Source: Alexandria via LeMat-Bulk
Functional: PBE-GGA
Structure: relaxed

## Properties
**SG**: I4mm
**Crystal system**: tetragonal
**Raw total energy**: -4.311 eV per atom

a b c (Å): 3.5761 3.5761 7.0514
angles (deg): 104.69 104.69 90.00
With the nearest neighbours (Å) after each atom.
Positions (direct):
Lu1 0.0159 0.0159 0.0319  4 Hg 3.11
Th1 0.3302 0.3302 0.6604  4 Hg 3.43, 4 Lu 3.52, 4 Th 3.58
Hg1 0.6539 0.6539 0.3078  4 Lu 3.11, 4 Th 3.43

Entry 2:
Compound: LuThTlHg
Source: Alexandria via LeMat-Bulk
Functional: PBE-GGA
Structure: relaxed

## Properties
**SG**: F-43m
**Crystal system**: cubic
**Raw total energy**: -3.879 eV per atom

a b c (Å): 5.3602 5.3602 5.3602
angles (deg): 60.00 60.00 60.00
With the nearest neighbours (Å) after each atom.
Positions (direct):
Hg1 0.5000 0.5000 0.5000  4 Lu 3.28, 4 Th 3.28
Th1 0.2500 0.2500 0.2500  4 Hg 3.28, 4 Tl 3.28
Lu1 0.7500 0.7500 0.7500  4 Hg 3.28, 4 Tl 3.28
Tl1 0.0000 0.0000 0.0000  4 Th 3.28, 4 Lu 3.28

Entry 3:
Compound: LuTiHg2
Source: Alexandria via LeMat-Bulk
Functional: PBE-GGA
Structure: relaxed

## Properties
**SG**: P4/mmm
**E above lowest polymorph**: 7 meV per atom
**Crystal system**: tetragonal

a b c (Å): 4.0873 4.5989 4.5989
angles (deg): 90.00 90.00 90.00
With the nearest neighbours (Å) after each atom.
Positions (direct):
Hg1 0.0000 0.0000 0.5000  4 Lu 3.08, 4 Ti 3.08, 4 Hg 3.25
Hg2 0.0000 0.5000 0.0000  4 Ti 3.08, 4 Lu 3.08, 4 Hg 3.25
Ti1 0.5000 0.0000 0.0000  8 Hg 3.08, 4 Lu 3.25
Lu1 0.5000 0.5000 0.5000  8 Hg 3.08, 4 Ti 3.25

Entry 4:
Compound: LuTiHg2
Source: Alexandria via LeMat-Bulk
Functional: PBE-GGA
Structure: relaxed

## Properties
**SG**: Fm-3m
**E above lowest polymorph**: 6 meV per atom
**Crystal system**: cubic

a b c (Å): 4.9724 4.9724 4.9724
angles (deg): 60.00 60.00 60.00
With the nearest neighbours (Å) after each atom.
Positions (direct):
Hg1 0.2500 0.2500 0.2500  4 Lu 3.04, 4 Ti 3.04
Hg2 0.7500 0.7500 0.7500  4 Ti 3.04, 4 Lu 3.04
Ti1 0.5000 0.5000 0.5000  8 Hg 3.04
Lu1 0.0000 0.0000 0.0000  8 Hg 3.04

Entry 5:
Compound: LuTiHg2
Source: Alexandria via LeMat-Bulk
Functional: PBE-GGA
Structure: relaxed

## Properties
**SG**: P4/mmm
**E above lowest polymorph**: 0 meV per atom
**Crystal system**: tetragonal

a b c (Å): 3.5797 3.5797 6.7542
angles (deg): 90.00 90.00 90.00
With the nearest neighbours (Å) after each atom.
Positions (direct):
Ti1 0.5000 0.5000 0.0000  8 Hg 2.98
Lu1 0.5000 0.5000 0.5000  8 Hg 3.11, 2 Ti 3.38
Hg1 0.0000 0.0000 0.7676  4 Ti 2.98, 4 Lu 3.11, 1 Hg 3.14
Hg2 0.0000 0.0000 0.2324  4 Ti 2.98, 4 Lu 3.11, 1 Hg 3.14

Entry 6:
Compound: LuTiZnHg
Source: Alexandria via LeMat-Bulk
Functional: PBE-GGA
Structure: relaxed

## Properties
**SG**: F-43m
**Crystal system**: cubic
**Raw total energy**: -3.653 eV per atom

a b c (Å): 4.8582 4.8582 4.8582
angles (deg): 60.00 60.00 60.00
With the nearest neighbours (Å) after each atom.
Positions (direct):
Zn1 0.0000 0.0000 0.0000  4 Ti 2.98, 4 Lu 2.98
Lu1 0.7500 0.7500 0.7500  4 Hg 2.98, 4 Zn 2.98
Hg1 0.5000 0.5000 0.5000  4 Ti 2.98, 4 Lu 2.98
Ti1 0.2500 0.2500 0.2500  4 Hg 2.98, 4 Zn 2.98

Entry 7:
Compound: LuTl2Hg
Source: Alexandria via LeMat-Bulk
Functional: PBE-GGA
Structure: relaxed

## Properties
**SG**: Fm-3m
**Crystal system**: cubic
**Raw total energy**: -2.413 eV per atom

a b c (Å): 5.3159 5.3159 5.3159
angles (deg): 60.00 60.00 60.00
With the nearest neighbours (Å) after each atom.
Positions (direct):
Lu1 0.5000 0.5000 0.5000  8 Tl 3.26
Tl1 0.2500 0.2500 0.2500  4 Hg 3.26, 4 Lu 3.26
Tl2 0.7500 0.7500 0.7500  4 Lu 3.26, 4 Hg 3.26
Hg1 0.0000 0.0000 0.0000  8 Tl 3.26

Entry 8:
Compound: TmLuTlHg
Source: Alexandria via LeMat-Bulk
Functional: PBE-GGA
Structure: relaxed

## Properties
**SG**: F-43m
**Crystal system**: cubic
**Raw total energy**: -3.282 eV per atom

a b c (Å): 5.2436 5.2436 5.2436
angles (deg): 60.00 60.00 60.00
With the nearest neighbours (Å) after each atom.
Positions (direct):
Hg1 0.5000 0.5000 0.5000  4 Lu 3.21, 4 Tm 3.21
Tm1 0.7500 0.7500 0.7500  4 Hg 3.21, 4 Tl 3.21
Tl1 0.0000 0.0000 0.0000  4 Tm 3.21, 4 Lu 3.21
Lu1 0.2500 0.2500 0.2500  4 Hg 3.21, 4 Tl 3.21

Entry 9:
Compound: YLuTlHg
Source: Alexandria via LeMat-Bulk
Functional: PBE-GGA
Structure: relaxed

## Properties
**SG**: F-43m
**Crystal system**: cubic
**Raw total energy**: -3.810 eV per atom

a b c (Å): 5.2780 5.2780 5.2780
angles (deg): 60.00 60.00 60.00
With the nearest neighbours (Å) after each atom.
Positions (direct):
Lu1 0.2500 0.2500 0.2500  4 Hg 3.23, 4 Tl 3.23
Hg1 0.5000 0.5000 0.5000  4 Y 3.23, 4 Lu 3.23
Tl1 0.0000 0.0000 0.0000  4 Lu 3.23, 4 Y 3.23
Y1 0.7500 0.7500 0.7500  4 Hg 3.23, 4 Tl 3.23

Entry 10:
Compound: LuTlZnHg
Source: Alexandria via LeMat-Bulk
Functional: PBE-GGA
Structure: relaxed

## Properties
**SG**: F-43m
**Crystal system**: cubic
**Raw total energy**: -2.263 eV per atom

a b c (Å): 5.0373 5.0373 5.0373
angles (deg): 60.00 60.00 60.00
With the nearest neighbours (Å) after each atom.
Positions (direct):
Hg1 0.7500 0.7500 0.7500  4 Zn 3.08, 4 Lu 3.08
Tl1 0.2500 0.2500 0.2500  4 Zn 3.08, 4 Lu 3.08
Zn1 0.0000 0.0000 0.0000  4 Tl 3.08, 4 Hg 3.08
Lu1 0.5000 0.5000 0.5000  4 Hg 3.08, 4 Tl 3.08

Entry 11:
Compound: Tm2LuHg
Source: Alexandria via LeMat-Bulk
Functional: PBE-GGA
Structure: relaxed

## Properties
**SG**: R-3m
**E above lowest polymorph**: 69 meV per atom
**Crystal system**: trigonal

a b c (Å): 3.5507 3.5507 10.5845
angles (deg): 80.34 80.34 60.00
With the nearest neighbours (Å) after each atom.
Positions (direct):
Hg1 0.0000 0.0000 0.0000  6 Tm 3.15
Tm1 0.2565 0.2565 0.2306  3 Hg 3.15, 3 Lu 3.47
Tm2 0.7435 0.7435 0.7694  3 Hg 3.15, 3 Lu 3.47
Lu1 0.5000 0.5000 0.5000  6 Tm 3.47, 6 Lu 3.55

Entry 12:
Compound: TmLuHg2
Source: Alexandria via LeMat-Bulk
Functional: PBE-GGA
Structure: relaxed

## Properties
**SG**: P4/mmm
**Crystal system**: tetragonal
**Raw total energy**: -2.871 eV per atom

a b c (Å): 3.6982 5.1521 5.1521
angles (deg): 90.00 90.00 90.00
With the nearest neighbours (Å) after each atom.
Positions (direct):
Hg1 0.0000 0.0000 0.5000  4 Tm 3.17, 4 Lu 3.17
Hg2 0.0000 0.5000 0.0000  4 Lu 3.17, 4 Tm 3.17
Lu1 0.5000 0.5000 0.5000  8 Hg 3.17
Tm1 0.5000 0.0000 0.0000  8 Hg 3.17

Number 1: total magnetization 0.00 μB per formula unit. Number 2: total magnetization 0.00 μB per formula unit. Number 3: total magnetization 1.46 μB per formula unit. Number 4: total magnetization 1.62 μB per formula unit. Number 5: total magnetization 1.19 μB per formula unit. Number 6: total magnetization 1.55 μB per formula unit. Number 7: total magnetization 0.00 μB per formula unit. Number 8: total magnetization 0.00 μB per formula unit. Number 9: total magnetization 0.03 μB per formula unit. Number 10: total magnetization 0.00 μB per formula unit. Number 11: total magnetization 0.00 μB per formula unit. Number 12: total magnetization 0.00 μB per formula unit.